The following is a PBE calculation of a relaxed Cu3PdSe crystal, from Alexandria.

a b c (Å): 4.6465 4.6465 4.6465
angles (deg): 90.00 90.00 90.00
Sites, in units of the cell vectors:
Cu 0.0000 0.5000 0.0000
Cu 0.0000 0.0000 0.5000
Cu 0.5000 0.0000 0.0000
Se 0.5000 0.5000 0.5000
Pd 0.0000 0.0000 0.0000

Summary:
The value obtained for the raw total energy is -3.34 eV per atom. The calculation puts the formation energy (no corrections) at 4.276 eV per formula unit. The magnetization is 0.00 Bohr magnetons per cell. As for the space group: Pm-3m (221).



The following is a PBE calculation of a relaxed CuPd4Se8 crystal, from Alexandria.

a b c (Å): 7.3728 7.3728 7.3728
angles (deg): 60.95 60.95 60.95
Sites, in units of the cell vectors:
Cu 0.5000 0.5000 0.5000
Pd 0.5000 0.0000 0.5000
Pd 0.0000 0.5000 0.5000
Pd 0.5000 0.5000 0.0000
Pd 0.0000 0.0000 0.0000
Se 0.2495 0.7300 0.2495
Se 0.7505 0.7505 0.2700
Se 0.7505 0.2700 0.7505
Se 0.2700 0.7505 0.7505
Se 0.7408 0.7408 0.7408
Se 0.2592 0.2592 0.2592
Se 0.7300 0.2495 0.2495
Se 0.2495 0.2495 0.7300

Summary:
The value obtained for the raw total energy is -4.28 eV per atom. The calculation puts the formation energy (no corrections) at -2.853 eV per formula unit. The magnetization is 0.00 Bohr magnetons per cell. As for the space group: R-3m (166).